A plane-wave DFT calculation with PBE-GGA was carried out for P2HOsSe after structural relaxation.

Lattice parameters (Å, degrees): 4.6504 3.1281 4.6504 90.00 90.00 90.00
Closest atoms and distances in Å follow each position.
Sites, in units of the cell vectors:
P: 0.5000 0.0000 0.0000  2 Se 2.33
P: 0.0000 0.0000 0.5000  2 Se 2.33
H: 0.0000 0.5000 0.0000  2 Se 1.56
Os: 0.5000 0.5000 0.5000  8 P 2.80, 2 Os 3.13
Se: 0.0000 0.0000 0.0000  2 H 1.56

Calculated values
DFT total energy ... -4.91 eV/atom
Calculated volume ... 67.65 Å³/f.u.
SG ... P4/mmm, No. 123

---

A plane-wave DFT calculation with PBE-GGA was carried out for Si2PHOs after structural relaxation.

Lattice parameters (Å, degrees): 4.6009 2.9489 4.6009 90.00 90.00 90.00
Closest atoms and distances in Å follow each position.
Sites, in units of the cell vectors:
H: 0.0000 0.5000 0.0000  2 P 1.47
Si: 0.0000 0.0000 0.5000  2 P 2.30
Si: 0.5000 0.0000 0.0000  2 P 2.30
Os: 0.5000 0.5000 0.5000  8 Si 2.73, 2 Os 2.95
P: 0.0000 0.0000 0.0000  2 H 1.47

Calculated values
DFT total energy ... -5.67 eV/atom
Calculated volume ... 62.42 Å³/f.u.
SG ... P4/mmm, No. 123

---

A plane-wave DFT calculation with PBE-GGA was carried out for SmPHOs after structural relaxation.

Lattice parameters (Å, degrees): 4.0382 4.0382 7.4936 90.00 90.00 90.00
Closest atoms and distances in Å follow each position.
Sites, in units of the cell vectors:
Sm: 0.0000 0.5000 0.3321  4 H 2.38
Sm: 0.5000 0.0000 0.6679  4 H 2.38
P: 0.5000 0.0000 0.1643  4 Os 2.36
P: 0.0000 0.5000 0.8357  4 Os 2.36
Os: 0.5000 0.5000 0.0000  4 P 2.36
Os: 0.0000 0.0000 0.0000  4 P 2.36
H: 0.0000 0.0000 0.5000  4 Sm 2.38
H: 0.5000 0.5000 0.5000  4 Sm 2.38

Calculated values
DFT total energy ... -6.97 eV/atom
Calculated volume ... 61.10 Å³/f.u.
SG ... P4/nmm, No. 129